Entry 1:
Below is a relaxed structure of Mg4Be3, with properties calculated at the PBE level.

Cell: 4.8132 4.8132 5.4857 Å, 90.00 90.00 120.00°
Closest atoms and distances in Å follow each position.
Space group P6/mmm (No. 191)
One atom of each set of equivalent atoms:
Mg 0.0000 0.0000 0.2415 [2 per cell]  2 Mg 2.65-2.84, 6 Be 2.75
Mg 0.3333 0.6667 0.5000 [2 per cell]  3 Mg 2.78, 6 Be 3.07
Be 0.0000 0.5000 0.0000 [3 per cell]  4 Be 2.41

Properties
- E_form (eV per atom) = 0.2333
- distance to the lowest polymorph of the same formula (meV per atom) = 0
- electronic total energy (eV/atom) = -2.275

***

Entry 2:
Below is a relaxed structure of Mg3Be, with properties calculated at the PBE level.

Cell: 3.1334 4.4120 5.6586 Å, 90.00 103.29 90.00°
Closest atoms and distances in Å follow each position.
Space group P2/m (No. 10)
One atom of each set of equivalent atoms:
Mg 0.0000 0.0000 0.0000 [1 per cell]  2 Be 2.83, 10 Mg 3.08-3.13
Mg 0.3782 0.5000 0.7271 [2 per cell]  2 Be 2.69, 2 Mg 2.84-3.01
Be 0.0000 0.0000 0.5000 [1 per cell]  6 Mg 2.69-2.83

Properties
- E_form (eV per atom) = 0.2728
- electronic total energy (eV/atom) = -1.855

***

Entry 3:
Below is a relaxed structure of MgBe2, with properties calculated at the PBE level.

Cell: 5.9585 5.9585 5.9585 Å, 90.00 90.00 90.00°
Closest atoms and distances in Å follow each position.
Space group Pa-3 (No. 205)
One atom of each set of equivalent atoms:
Mg 0.0000 0.0000 0.0000 [4 per cell]  6 Be 2.52
Be 0.1018 0.6018 0.8982 [8 per cell]  1 Be 2.10

Properties
- E_form (eV per atom) = 1.2899
- distance to the lowest polymorph of the same formula (meV per atom) = 1197
- electronic total energy (eV/atom) = -1.726

***

Entry 4:
Below is a relaxed structure of MgBe2, with properties calculated at the PBE level.

Cell: 3.7284 3.7284 11.9685 Å, 90.00 90.00 90.00°
Closest atoms and distances in Å follow each position.
Space group I4_1/amd (No. 141, origin choice 2)
One atom of each set of equivalent atoms:
Mg 0.0000 0.2500 0.3750 [4 per cell]  12 Be 2.68-2.84
Be 0.0000 0.2500 0.7864 [8 per cell]  3 Be 2.06-2.12

Properties
- E_form (eV per atom) = 0.4360
- distance to the lowest polymorph of the same formula (meV per atom) = 343
- electronic total energy (eV/atom) = -2.580